Entry 1:
Compound: LuZnSi2
Source: the Alexandria database
Functional: PBE-GGA
Structure: relaxed

Geometry as POSCAR:
```
LuZnSi2
1.0
3.977 0.000 0.000
0.000 4.159 0.000
0.000 0.000 4.159
Si Zn Lu
2 1 1
Direct
0.000 0.500 0.000
0.000 0.000 0.500
0.500 0.000 0.000
0.500 0.500 0.500
```

Computed properties:
For the calculated density, the calculation gives 7.16 g/cm3. The value obtained for the uncorrected formation energy is -0.275 eV per atom. Its magnetization is 0.00 μB per formula unit.



Entry 2:
Compound: Lu2ZnSi
Source: the Alexandria database
Functional: PBE-GGA
Structure: relaxed

Geometry as POSCAR:
```
Lu2ZnSi
1.0
-2.742 -2.312 0.036
1.243 -1.543 -4.357
2.824 -3.318 1.981
Lu Si Zn
2 1 1
Direct
0.000 0.000 0.500
0.000 0.500 0.000
0.500 0.500 0.500
0.500 0.000 0.000
```

Computed properties:
For the calculated density, the calculation gives 8.96 g/cm3. The value obtained for the uncorrected formation energy is -0.446 eV per atom. Its magnetization is 0.00 μB per formula unit.



Entry 3:
Compound: Lu2ZnSi
Source: the Alexandria database
Functional: PBE-GGA
Structure: relaxed

Geometry as POSCAR:
```
Lu2ZnSi
1.0
-3.499 -0.607 1.769
-1.559 -3.646 0.113
2.559 -2.989 8.486
Lu Si Zn
2 1 1
Direct
0.888 0.888 0.335
0.112 0.112 0.665
0.500 0.500 0.500
0.000 0.000 0.000
```

Computed properties:
For the calculated density, the calculation gives 5.96 g/cm3. The value obtained for the uncorrected formation energy is 0.098 eV per atom. Its magnetization is 0.00 μB per formula unit.



Entry 4:
Compound: LuZnSi4
Source: the Alexandria database
Functional: PBE-GGA
Structure: relaxed

Geometry as POSCAR:
```
LuZnSi4
1.0
-3.234 3.396 -2.171
-4.026 1.814 2.684
-0.038 4.915 1.596
Si Zn Lu
4 1 1
Direct
0.123 0.626 0.626
0.626 0.626 0.123
0.626 0.626 0.626
0.626 0.123 0.626
0.000 0.000 0.000
0.250 0.250 0.250
```

Computed properties:
For the calculated density, the calculation gives 6.00 g/cm3. The value obtained for the uncorrected formation energy is -0.104 eV per atom. Its magnetization is 0.00 μB per formula unit.



Entry 5:
Compound: Sm2Lu
Source: the Alexandria database
Functional: PBE-GGA
Structure: relaxed

Geometry as POSCAR:
```
Sm2Lu
1.0
3.574 0.000 0.000
0.000 3.574 0.000
-1.787 -1.787 7.573
Sm Lu
2 1
Direct
0.335 0.335 0.671
0.665 0.665 0.329
0.000 0.000 0.000
```

Computed properties:
The formation energy is 0.1 eV/f.u. For the calculated density, the calculation gives 8.16 g/cm3. Its magnetization is 0.00 μB per formula unit.



Entry 6:
Compound: Sm3Lu
Source: the Alexandria database
Functional: PBE-GGA
Structure: relaxed

Geometry as POSCAR:
```
Sm3Lu
1.0
-0.341 3.555 -0.778
-1.847 -1.450 -5.821
-4.374 -1.189 5.069
Sm Lu
3 1
Direct
0.747 0.081 0.494
0.253 0.587 0.506
0.500 0.498 0.000
0.000 0.001 0.000
```

Computed properties:
The formation energy is 0.1 eV/f.u. For the calculated density, the calculation gives 7.88 g/cm3. Its magnetization is 0.00 μB per formula unit.



Entry 7:
Compound: SmLu
Source: the Alexandria database
Functional: PBE-GGA
Structure: relaxed

Geometry as POSCAR:
```
SmLu
1.0
4.985 0.000 0.000
0.000 3.536 0.315
0.000 -0.629 7.055
Lu Sm
2 2
Direct
0.750 0.750 0.879
0.250 0.250 0.121
0.250 0.250 0.627
0.750 0.750 0.373
```

Computed properties:
The formation energy is 0.1 eV/f.u. For the calculated density, the calculation gives 8.62 g/cm3. Its magnetization is 0.00 μB per formula unit.



Entry 8:
Compound: SmLu
Source: the Alexandria database
Functional: PBE-GGA
Structure: relaxed

Geometry as POSCAR:
```
SmLu
1.0
3.994 0.000 0.000
0.000 3.994 0.000
0.000 0.000 3.994
Sm Lu
1 1
Direct
0.500 0.500 0.500
0.000 0.000 0.000
```

Computed properties:
The formation energy is 0.2 eV/f.u. For the calculated density, the calculation gives 8.48 g/cm3. Its magnetization is 0.00 μB per formula unit.